A relaxed PrNdGa2Rh2 crystal, computed with PBE.

Results
The total energy comes out at -34.86 eV per formula unit. The calculation puts the formation energy at -759.8 meV per atom.

Unit cell a=4.3846 b=4.3846 c=7.7855 alpha=90.00 beta=90.00 gamma=120.00
Space group P-3m1 (No. 164)
One atom of each set of equivalent atoms:
Pr  0.0000  0.0000  0.0000
Nd  0.0000  0.0000  0.5000
Ga  0.3333  0.6667  0.2524
Rh  0.3333  0.6667  0.7427



A relaxed NaMn2PW crystal, computed with PBE.

Results
The total energy comes out at -33.48 eV per formula unit. The calculation puts the formation energy at 907.4 meV per atom.

Unit cell a=4.2381 b=4.2381 c=4.5188 alpha=90.00 beta=90.00 gamma=90.00
Space group P4/mmm (No. 123)
One atom of each set of equivalent atoms:
Na  0.0000  0.0000  0.0000
Mn  0.0000  0.5000  0.5000
P  0.5000  0.5000  0.5000
W  0.5000  0.5000  0.0000



A relaxed NdY4Er4 crystal, computed with PBE.

Results
The total energy comes out at -48.65 eV per formula unit. For the energy above the most stable polymorph in this dataset, the calculation gives 0.00 kJ/mol of atoms. The calculation puts the formation energy at 25.0 meV per atom.

Unit cell a=10.6809 b=10.6809 c=5.0113 alpha=90.00 beta=90.00 gamma=90.00
Space group I4/mmm (No. 139)
One atom of each set of equivalent atoms:
Nd  0.0000  0.0000  0.0000
Y  0.0000  0.3323  0.0000
Er  0.1671  0.1671  0.5000



A relaxed Sm3ReC4 crystal, computed with PBE.

Results
The total energy comes out at -63.79 eV per formula unit. The calculation puts the formation energy at -36.2 meV per atom.

Unit cell a=7.8690 b=6.9602 c=5.4052 alpha=90.00 beta=90.00 gamma=90.00
Space group Pmn2_1 (No. 31)
One atom of each set of equivalent atoms:
Sm  0.0000  0.1380  0.0000
Sm  0.2474  0.3295  0.4990
Re  0.0000  0.8235  0.4663
C  0.0000  0.1023  0.5216
C  0.0000  0.8170  0.1162
C  0.2149  0.6881  0.5361



A relaxed HfVAs crystal, computed with PBE.

Results
The total energy comes out at -24.91 eV per formula unit. The calculation puts the formation energy at -395.7 meV per atom.

Unit cell a=6.9597 b=6.9597 c=4.3701 alpha=90.00 beta=90.00 gamma=90.00
Space group P4_2/m (No. 84)
One atom of each set of equivalent atoms:
Hf  0.0367  0.7470  0.0000
V  0.3389  0.4336  0.0000
As  0.1820  0.4119  0.5000



A relaxed Cr2ReHW crystal, computed with PBE.

Results
The total energy comes out at -46.96 eV per formula unit. For the energy above the most stable polymorph in this dataset, the calculation gives 0.00 kJ/mol of atoms.

Unit cell a=3.8158 b=3.8158 c=3.9345 alpha=90.00 beta=90.00 gamma=90.00
Space group P4/mmm (No. 123)
One atom of each set of equivalent atoms:
Cr  0.0000  0.5000  0.0000
Re  0.0000  0.0000  0.5000
H  0.5000  0.5000  0.0000
W  0.5000  0.5000  0.5000



A relaxed HoEr4Tm2 crystal, computed with PBE.

Results
The total energy comes out at -31.73 eV per formula unit. For the energy above the most stable polymorph in this dataset, the calculation gives 0.00 kJ/mol of atoms. The calculation puts the formation energy at 6.3 meV per atom.

Unit cell a=6.1110 b=3.5279 c=19.6569 alpha=90.00 beta=90.01 gamma=90.00
Space group Cm (No. 8)
One atom of each set of equivalent atoms:
Ho  0.0000  0.0000  0.0000
Er  0.1663  0.5000  0.1425
Er  0.1672  0.5000  0.8560
Er  0.3337  0.0000  0.4276
Er  0.3343  0.0000  0.7115
Tm  0.9998  0.0000  0.2849
Tm  0.0009  0.0000  0.5689



A relaxed Tm4Te2IrS crystal, computed with PBE.

Results
The total energy comes out at -47.78 eV per formula unit. For the energy relative to the elements, uncorrected, the calculation gives -10.62 eV/f.u.

Unit cell a=7.2591 b=4.0501 c=7.3451 alpha=90.00 beta=108.35 gamma=90.00
Space group P2/m (No. 10)
One atom of each set of equivalent atoms:
Tm  0.2236  0.0000  0.2025
Tm  0.2545  0.5000  0.7911
Te  0.0000  0.0000  0.5000
Te  0.5000  0.5000  0.5000
Ir  0.0000  0.5000  0.0000
S  0.5000  0.0000  0.0000



A relaxed Cs2SrTl2 crystal, computed with PBE.

Results
The total energy comes out at -8.14 eV per formula unit. For the energy above the most stable polymorph in this dataset, the calculation gives 0.00 kJ/mol of atoms. The calculation puts the formation energy at -3.5 meV per atom.

Unit cell a=8.9068 b=8.9068 c=6.6870 alpha=90.00 beta=90.00 gamma=90.00
Space group P4/mbm (No. 127)
One atom of each set of equivalent atoms:
Cs  0.1810  0.3190  0.0000
Sr  0.0000  0.0000  0.5000
Tl  0.1198  0.6198  0.5000



A relaxed Ag5TeS4Cl2 crystal, computed with PBE.

Results
The total energy comes out at -38.78 eV per formula unit. For the energy relative to the elements, uncorrected, the calculation gives -1.18 eV/f.u.

Unit cell a=7.9308 b=11.2161 c=6.4506 alpha=90.00 beta=90.00 gamma=90.00
Space group Amm2 (No. 38)
One atom of each set of equivalent atoms:
Ag  0.0000  0.0000  0.0000
Ag  0.2669  0.1935  0.4813
Te  0.5000  0.0000  0.1375
S  0.2065  0.0000  0.2927
S  0.5000  0.1667  0.8893
Cl  0.0000  0.1758  0.7347



A relaxed AcHo2Er6 crystal, computed with PBE.

Results
The total energy comes out at -37.05 eV per formula unit. For the energy above the most stable polymorph in this dataset, the calculation gives 30.63 kJ/mol of atoms. The calculation puts the formation energy at 399.3 meV per atom.

Unit cell a=6.8159 b=6.8159 c=25.2193 alpha=90.00 beta=90.00 gamma=120.00
Space group R3m (No. 160, hexagonal axes)
One atom of each set of equivalent atoms:
Ac  0.0000  0.0000  0.0000
Ho  0.0000  0.0000  0.5796
Ho  0.0000  0.0000  0.7604
Er  0.0081  0.5041  0.5507
Er  0.1683  0.3365  0.1165



A relaxed CeTlHgCl6 crystal, computed with PBE.

Results
The total energy comes out at -31.80 eV per formula unit. For the energy relative to the elements, uncorrected, the calculation gives -12.11 eV/f.u.

Unit cell a=7.3282 b=12.6814 c=6.2373 alpha=90.00 beta=90.10 gamma=90.00
Space group C2 (No. 5)
One atom of each set of equivalent atoms:
Ce  0.0000  0.0000  0.0000
Tl  0.0000  0.6666  0.0000
Hg  0.0000  0.3334  0.5000
Cl  0.1255  0.1600  0.7495
Cl  0.1767  0.8572  0.7498
Cl  0.1972  0.4829  0.7487



Q: Which formula does entry 5 have?
A: HfVAs